A plane-wave DFT calculation with PBEsol was carried out for a geometry-optimized TlOs2Se structure.

CIF file:
```
data_TlOs2Se
_space_group_name_H-M_alt 'F m -3 m'
_space_group_IT_number 225
_space_group_name_Hall '-F 4 2 3'
_cell_length_a 6.3851
_cell_length_b 6.3851
_cell_length_c 6.3851
_cell_angle_alpha 90.00
_cell_angle_beta 90.00
_cell_angle_gamma 90.00
loop_
_atom_site_label
_atom_site_type_symbol
_atom_site_fract_x
_atom_site_fract_y
_atom_site_fract_z
Tl1 Tl 0.0000 0.0000 0.0000
Os1 Os 0.2500 0.2500 0.2500
Se1 Se 0.0000 0.0000 0.5000
```

Output
**Electronic total energy**: -6.63 eV per atom
**Calculated volume**: 16.27 A^3/atom
**N(E_F)**: 2.16 states/eV/f.u.